1.
This record from Alexandria via LeMat-Bulk describes a geometry-optimized BaPt2Au structure. The functional is PBE.

Output
Total magnetization: 0.00 μB/atom
Density: 14.4 g cm⁻³
Energy of formation: 374.2 meV per atom
Crystal system: trigonal
Distance to the lowest polymorph of the same formula: 923 meV per atom
Total energy: -3.946 eV per atom

Geometry as CIF:
```
data_BaPt2Au
_chemical_formula_sum 'Ba3 Pt6 Au3'
_cell_length_a 3.1040
_cell_length_b 3.1040
_cell_length_c 30.0505
_cell_angle_alpha 90.00
_cell_angle_beta 90.00
_cell_angle_gamma 120.00
_space_group_name_H-M_alt 'R 3 m'
_space_group_IT_number 160
_space_group_name_Hall 'R 3 -2"'
loop_
_atom_site_label
_atom_site_type_symbol
_atom_site_fract_x
_atom_site_fract_y
_atom_site_fract_z
Ba1 Ba 0.0000 0.0000 0.0000
Pt1 Pt 0.0000 0.0000 0.4952
Pt2 Pt 0.0000 0.0000 0.7561
Au1 Au 0.0000 0.0000 0.2353
```



2.
This record from Alexandria via LeMat-Bulk describes a geometry-optimized LiMgCrCl6 structure. The functional is PBE.

Output
Total magnetization: 0.33 μB/atom
Formation energy from raw total energies: -1.49 eV/atom
Density: 2.5 g cm⁻³
Crystal system: trigonal
Total energy: -4.177 eV per atom

Geometry as CIF:
```
data_LiMgCrCl6
_chemical_formula_sum 'Li2 Mg2 Cr2 Cl12'
_cell_length_a 6.2223
_cell_length_b 6.2223
_cell_length_c 11.6785
_cell_angle_alpha 90.00
_cell_angle_beta 90.00
_cell_angle_gamma 120.00
_space_group_name_H-M_alt 'P -3 1 c'
_space_group_IT_number 163
_space_group_name_Hall '-P 3 2c'
loop_
_atom_site_label
_atom_site_type_symbol
_atom_site_fract_x
_atom_site_fract_y
_atom_site_fract_z
Li1 Li 0.0000 0.0000 0.0000
Mg1 Mg 0.3333 0.6667 0.2500
Cr1 Cr 0.3333 0.6667 0.7500
Cl1 Cl 0.0171 0.3613 0.6332
```



What is the density in the first record?
14.4 g cm⁻³